First-principles (PBE) data for a relaxed structure of BiCO4, as listed in Alexandria.

For the formation energy from raw total energies, the calculation gives -104 kJ/mol of atoms.

Cell lengths 4.167, 6.981, 6.391 Å; angles 90.00, 98.13, 90.00 degrees
Element x y z (fractional)
Bi (0.004, 0.250, 0.330)
Bi (0.996, 0.750, 0.670)
C (0.015, 0.750, 0.214)
C (0.985, 0.250, 0.786)
O (0.033, 0.094, 0.679)
O (0.033, 0.406, 0.679)
O (0.111, 0.750, 0.036)
O (0.500, 0.250, 0.323)
O (0.500, 0.750, 0.677)
O (0.889, 0.250, 0.964)
O (0.967, 0.594, 0.321)
O (0.967, 0.906, 0.321)



First-principles (PBE) data for a relaxed structure of LaTiOs3, as listed in Alexandria.

The calculation puts the formation energy from the elements at 0.812 eV/atom. For the distance to the lowest polymorph of the same formula, the calculation gives 0 meV/atom.

Cell lengths 4.669, 4.669, 4.669 Å; angles 90.00, 90.00, 90.00 degrees
Element x y z (fractional)
La (0.000, 0.000, 0.000)
Ti (0.500, 0.500, 0.500)
Os (0.000, 0.500, 0.500)
Os (0.500, 0.000, 0.500)
Os (0.500, 0.500, 0.000)



First-principles (PBE) data for a relaxed structure of Be3GeC, as listed in Alexandria.

The calculation puts the formation energy from the elements at 0.420 eV/atom. For the distance to the lowest polymorph of the same formula, the calculation gives 0 meV/atom.

Cell lengths 3.668, 3.668, 3.668 Å; angles 90.00, 90.00, 90.00 degrees
Element x y z (fractional)
Be (0.000, 0.000, 0.500)
Be (0.000, 0.500, 0.000)
Be (0.500, 0.000, 0.000)
Ge (0.500, 0.500, 0.500)
C (0.000, 0.000, 0.000)